No. 1
# SrZrCl2

A relaxed SrZrCl2 crystal (GGA-PBE, Alexandria).

formation energy without anion corrections: -0.669 eV/atom
relative energy among the computed polymorphs: 456 meV/atom

a b c (Å): 5.022 5.022 3.444
angles (deg): 90.00 90.00 90.00
Space group P4/mmm (No. 123)
Symmetry-distinct sites (fractional):
Sr 0.000 0.000 0.000 (multiplicity 1)
Zr 0.500 0.500 0.000 (multiplicity 1)
Cl 0.000 0.500 0.500 (multiplicity 2)

***

No. 2
# Sc2AgPt

A relaxed Sc2AgPt crystal (GGA-PBE, Alexandria).

energy of formation: -0.600 eV/atom

a b c (Å): 3.705 3.741 5.832
angles (deg): 90.00 90.00 90.00
Space group Pmm2 (No. 25)
Symmetry-distinct sites (fractional):
Sc 0.000 0.000 0.000 (multiplicity 1)
Sc 0.500 0.500 0.349 (multiplicity 1)
Ag 0.000 0.000 0.527 (multiplicity 1)
Pt 0.500 0.500 0.874 (multiplicity 1)

***

No. 3
# BaP2IrO

A relaxed BaP2IrO crystal (GGA-PBE, Alexandria).

formation energy without anion corrections: 1.706 eV/atom
relative energy among the computed polymorphs: 2050 meV/atom

a b c (Å): 5.547 5.547 4.191
angles (deg): 90.00 90.00 90.00
Space group P4/mmm (No. 123)
Symmetry-distinct sites (fractional):
Ba 0.000 0.000 0.000 (multiplicity 1)
P 0.000 0.500 0.000 (multiplicity 2)
Ir 0.500 0.500 0.500 (multiplicity 1)
O 0.000 0.000 0.500 (multiplicity 1)

***

No. 4
# Ho3TlTe3

A relaxed Ho3TlTe3 crystal (GGA-PBE, Alexandria).

formation energy without anion corrections: -0.828 eV/atom

a b c (Å): 9.3193 9.3193 5.7736
angles (deg): 90.00 90.00 120.00
Space group P6_3/m (No. 176)
Symmetry-distinct sites (fractional):
Ho 0.0406 0.7778 0.2500 (multiplicity 6)
Tl 0.3333 0.6667 0.2500 (multiplicity 2)
Te 0.0651 0.6643 0.7500 (multiplicity 6)

***

No. 5
# SrThAsN

A relaxed SrThAsN crystal (GGA-PBE, Alexandria).

formation energy without anion corrections: -1.222 eV/atom

a b c (Å): 4.0061 4.0061 20.3889
angles (deg): 90.00 90.00 120.00
Space group R3m (No. 160, hexagonal axes)
Symmetry-distinct sites (fractional):
Sr 0.0000 0.0000 0.0000 (multiplicity 3)
Th 0.0000 0.0000 0.4799 (multiplicity 3)
As 0.0000 0.0000 0.2391 (multiplicity 3)
N 0.0000 0.0000 0.7642 (multiplicity 3)

***

No. 6
# Ca2Sm2Pd3

A relaxed Ca2Sm2Pd3 crystal (GGA-PBE, Alexandria).

energy of formation: -0.661 eV/atom
relative energy among the computed polymorphs: 0 meV/atom

a b c (Å): 5.002 5.024 8.688
angles (deg): 73.21 73.34 60.19
Space group P-1 (No. 2)
Symmetry-distinct sites (fractional):
Ca 0.126 0.127 0.120 (multiplicity 2)
Sm 0.377 0.377 0.370 (multiplicity 2)
Pd 0.000 0.000 0.500 (multiplicity 1)
Pd 0.257 0.255 0.731 (multiplicity 2)

***

No. 7
# YThTe2

A relaxed YThTe2 crystal (GGA-PBE, Alexandria).

formation energy without anion corrections: -1.174 eV/atom
relative energy among the computed polymorphs: 0 meV/atom

a b c (Å): 4.1826 4.1826 24.1758
angles (deg): 90.00 90.00 120.00
Space group R3m (No. 160, hexagonal axes)
Symmetry-distinct sites (fractional):
Y 0.0000 0.0000 0.0000 (multiplicity 3)
Th 0.0000 0.0000 0.8310 (multiplicity 3)
Te 0.0000 0.0000 0.4116 (multiplicity 3)
Te 0.0000 0.0000 0.5861 (multiplicity 3)

***

No. 8
# LaNd5Dy2Th

A relaxed LaNd5Dy2Th crystal (GGA-PBE, Alexandria).

energy of formation: 0.158 eV/atom

a b c (Å): 5.754 20.402 10.647
angles (deg): 90.00 90.00 90.00
Space group Cmc2_1 (No. 36)
Symmetry-distinct sites (fractional):
La 0.000 0.086 0.000 (multiplicity 4)
Nd 0.000 0.022 0.294 (multiplicity 4)
Nd 0.000 0.114 0.581 (multiplicity 4)
Nd 0.000 0.208 0.257 (multiplicity 4)
Nd 0.000 0.222 0.870 (multiplicity 4)
Nd 0.000 0.484 0.578 (multiplicity 4)
Dy 0.000 0.384 0.873 (multiplicity 4)
Dy 0.000 0.387 0.289 (multiplicity 4)
Th 0.000 0.301 0.567 (multiplicity 4)

***

No. 9
# La3Th2PaAs6

A relaxed La3Th2PaAs6 crystal (GGA-PBE, Alexandria).

energy of formation: -1.438 eV/atom

a b c (Å): 7.400 12.820 7.438
angles (deg): 90.00 109.37 90.00
Space group C2/m (No. 12)
Symmetry-distinct sites (fractional):
La 0.000 0.000 0.000 (multiplicity 2)
La 0.000 0.331 0.000 (multiplicity 4)
Th 0.000 0.166 0.500 (multiplicity 4)
Pa 0.000 0.500 0.500 (multiplicity 2)
As 0.241 0.338 0.737 (multiplicity 8)
As 0.245 0.500 0.263 (multiplicity 4)

***

No. 10
# Cs2Rb3TlF6

A relaxed Cs2Rb3TlF6 crystal (GGA-PBE, Alexandria).

formation energy without anion corrections: -2.500 eV/atom

a b c (Å): 18.041 4.132 8.294
angles (deg): 90.00 103.37 90.00
Space group C2/m (No. 12)
Symmetry-distinct sites (fractional):
Cs 0.166 0.000 0.330 (multiplicity 4)
Rb 0.000 0.500 0.500 (multiplicity 2)
Rb 0.165 0.000 0.835 (multiplicity 4)
Tl 0.000 0.500 0.000 (multiplicity 2)
F 0.003 0.000 0.755 (multiplicity 4)
F 0.162 0.500 0.593 (multiplicity 4)
F 0.164 0.500 0.071 (multiplicity 4)

***

No. 11
# Pr2Ho7Er2

A relaxed Pr2Ho7Er2 crystal (GGA-PBE, Alexandria).

energy of formation: 0.158 eV/atom
relative energy among the computed polymorphs: 4 meV/atom

a b c (Å): 11.270 11.442 6.040
angles (deg): 90.00 113.47 90.00
Space group C2/m (No. 12)
Symmetry-distinct sites (fractional):
Pr 0.231 0.000 0.092 (multiplicity 4)
Ho 0.000 0.000 0.500 (multiplicity 2)
Ho 0.088 0.500 0.301 (multiplicity 4)
Ho 0.174 0.235 0.674 (multiplicity 8)
Er 0.000 0.219 0.000 (multiplicity 4)

***

No. 12
# SnAsPbAu

A relaxed SnAsPbAu crystal (GGA-PBE, Alexandria).

energy of formation: 0.108 eV/atom
relative energy among the computed polymorphs: 51 meV/atom

a b c (Å): 7.315 7.315 7.315
angles (deg): 90.00 90.00 90.00
Space group F-43m (No. 216)
Symmetry-distinct sites (fractional):
Sn 0.000 0.000 0.000 (multiplicity 4)
As 0.250 0.250 0.250 (multiplicity 4)
Pb 0.000 0.000 0.500 (multiplicity 4)
Au 0.250 0.250 0.750 (multiplicity 4)